LaZnP | GGA-PBE | relaxed

Results
* symmetry: R-3m (166)
* ΔH_f (0 K): -747 meV/atom
* calculated total energy: -4.617 eV/atom
* spin magnetization: 0.00 μB per formula unit

Unit cell a=4.870 b=4.870 c=8.377 alpha=73.10 beta=73.10 gamma=60.00
Fractional positions:
La 0.597 0.597 0.208
La 0.403 0.403 0.792
P 0.281 0.281 0.156
P 0.719 0.719 0.844
Zn 0.822 0.822 0.535
Zn 0.178 0.178 0.465

=====

La7ZnP2 | GGA-PBE | relaxed

Results
* symmetry: P4/mbm (127)
* ΔH_f (0 K): -661 meV/atom
* calculated total energy: -5.319 eV/atom
* spin magnetization: 0.00 μB per formula unit

Unit cell a=12.099 b=12.099 c=4.112 alpha=90.00 beta=90.00 gamma=90.00
Fractional positions:
La 0.000 0.500 0.500
La 0.500 0.000 0.500
La 0.323 0.823 0.000
La 0.677 0.177 0.000
La 0.177 0.323 0.000
La 0.823 0.677 0.000
La 0.199 0.067 0.500
La 0.801 0.933 0.500
La 0.933 0.199 0.500
La 0.067 0.801 0.500
La 0.301 0.567 0.500
La 0.699 0.433 0.500
La 0.567 0.699 0.500
La 0.433 0.301 0.500
P 0.132 0.632 0.000
P 0.868 0.368 0.000
P 0.368 0.132 0.000
P 0.632 0.868 0.000
Zn 0.000 0.000 0.000
Zn 0.500 0.500 0.000

=====

LaZnP2 | GGA-PBE | relaxed

Results
* symmetry: Cmmm (65)
* ΔH_f (0 K): -433 meV/atom
* calculated total energy: -4.689 eV/atom
* spin magnetization: 0.00 μB per formula unit

Unit cell a=3.648 b=3.648 c=6.015 alpha=90.00 beta=90.00 gamma=97.16
Fractional positions:
La 0.500 0.500 0.750
P 0.000 0.000 0.062
P 0.000 0.000 0.438
Zn 0.500 0.500 0.250

=====

> Which formula does entry 3 have?

LaZnP2

=====

> The highest calculated total energy belongs to which entry?

LaZnP